[1]
# BaZr

An optimized crystal structure of BaZr (PBE-GGA, Alexandria).

E, eV/cell: -37.773
Calculated formation energy, eV/f.u.: 1.03

a = 10.132 Å, b = 3.471 Å, c = 8.624 Å
α = 90.00°, β = 93.66°, γ = 90.00°
Space group C2/m (No. 12)
Asymmetric unit:
Ba  0.118  0.000  0.323 x4
Zr  0.133  0.500  0.952 x4


[2]
# BaZr

An optimized crystal structure of BaZr (PBE-GGA, Alexandria).

E, eV/cell: -29.887
Calculated formation energy, eV/f.u.: 3.00

a = 6.869 Å, b = 6.869 Å, c = 6.869 Å
α = 90.00°, β = 90.00°, γ = 90.00°
Space group Fm-3m (No. 225)
Asymmetric unit:
Ba  0.000  0.000  0.000 x4
Zr  0.000  0.000  0.500 x4


[3]
# Ba2Zr

An optimized crystal structure of Ba2Zr (PBE-GGA, Alexandria).

E, eV/cell: -20.316
Calculated formation energy, eV/f.u.: 2.24

a = 6.2036 Å, b = 6.2036 Å, c = 7.7340 Å
α = 90.00°, β = 90.00°, γ = 120.00°
Space group P6_3/mmc (No. 194)
Asymmetric unit:
Ba  0.0000  0.0000  0.0000 x2
Ba  0.3333  0.6667  0.2500 x2
Zr  0.3333  0.6667  0.7500 x2